{
  "formula": "GeAs3",
  "functional": "PBE-GGA",
  "state": "optimized geometry",
  "formation_enthalpy_0k_ev_per_atom": 0.06,
  "spacegroup": "R3m (160)",
  "lattice": [[1.896, 1.095, 7.059], [-1.896, 1.095, 7.059], [0.000, -2.190, 7.059]],
  "species": ["Ge", "As", "As", "As"],
  "fractional_positions": [[0.000, 0.000, 0.000], [0.229, 0.229, 0.229], [0.499, 0.499, 0.499], [0.723, 0.723, 0.723]]
}



{
  "formula": "GeAs2",
  "functional": "PBE-GGA",
  "state": "optimized geometry",
  "formation_enthalpy_0k_ev_per_atom": -0.05,
  "spacegroup": "Pbam (55)",
  "relative_energy_mev_per_atom": 0,
  "lattice": [[10.670, 0.000, 0.000], [0.000, 15.332, 0.000], [0.000, 0.000, 3.781]],
  "species": ["Ge", "Ge", "Ge", "Ge", "Ge", "Ge", "Ge", "Ge", "As", "As", "As", "As", "As", "As", "As", "As", "As", "As", "As", "As", "As", "As", "As", "As"],
  "fractional_positions": [[0.071, 0.149, 0.000], [0.216, 0.773, 0.500], [0.284, 0.273, 0.500], [0.429, 0.649, 0.000], [0.571, 0.351, 0.000], [0.716, 0.727, 0.500], [0.784, 0.227, 0.500], [0.929, 0.851, 0.000], [0.064, 0.897, 0.500], [0.122, 0.621, 0.500], [0.139, 0.303, 0.000], [0.243, 0.551, 0.000], [0.257, 0.051, 0.000], [0.361, 0.803, 0.000], [0.378, 0.121, 0.500], [0.436, 0.397, 0.500], [0.564, 0.603, 0.500], [0.622, 0.879, 0.500], [0.639, 0.197, 0.000], [0.743, 0.949, 0.000], [0.757, 0.449, 0.000], [0.861, 0.697, 0.000], [0.878, 0.379, 0.500], [0.936, 0.103, 0.500]]
}



{
  "formula": "GeAs2",
  "functional": "PBE-GGA",
  "state": "optimized geometry",
  "formation_enthalpy_0k_ev_per_atom": 0.23,
  "spacegroup": "P2_1/m (11)",
  "relative_energy_mev_per_atom": 285,
  "lattice": [[5.575, 0.000, 0.000], [0.000, 2.815, 0.000], [-1.878, 0.000, 8.216]],
  "species": ["Ge", "Ge", "As", "As", "As", "As"],
  "fractional_positions": [[0.224, 0.250, 0.498], [0.776, 0.750, 0.502], [0.122, 0.250, 0.185], [0.449, 0.750, 0.855], [0.551, 0.250, 0.145], [0.878, 0.750, 0.815]]
}



{
  "formula": "GeAs2",
  "functional": "PBE-GGA",
  "state": "optimized geometry",
  "formation_enthalpy_0k_ev_per_atom": 0.16,
  "spacegroup": "Pbcn (60)",
  "relative_energy_mev_per_atom": 218,
  "lattice": [[4.945, 0.000, 0.000], [0.000, 7.817, 0.000], [0.000, 0.000, 6.953]],
  "species": ["Ge", "Ge", "Ge", "Ge", "As", "As", "As", "As", "As", "As", "As", "As"],
  "fractional_positions": [[0.000, 0.111, 0.250], [0.000, 0.889, 0.750], [0.500, 0.389, 0.750], [0.500, 0.611, 0.250], [0.180, 0.403, 0.056], [0.180, 0.597, 0.556], [0.320, 0.097, 0.556], [0.320, 0.903, 0.056], [0.680, 0.097, 0.944], [0.680, 0.903, 0.444], [0.820, 0.403, 0.444], [0.820, 0.597, 0.944]]
}



{
  "formula": "GeAs3",
  "functional": "PBE-GGA",
  "state": "optimized geometry",
  "formation_enthalpy_0k_ev_per_atom": 0.10,
  "spacegroup": "Pmm2 (25)",
  "lattice": [[3.884, 0.000, 0.000], [0.000, 5.272, 0.000], [0.000, 0.000, 4.247]],
  "species": ["Ge", "As", "As", "As"],
  "fractional_positions": [[0.000, 0.000, 0.000], [0.000, 0.500, 0.850], [0.500, 0.000, 0.396], [0.500, 0.500, 0.249]]
}



{
  "formula": "Ge3As2",
  "functional": "PBE-GGA",
  "state": "optimized geometry",
  "formation_enthalpy_0k_ev_per_atom": 0.29,
  "spacegroup": "R-3c (167)",
  "lattice": [[3.556, 2.053, 5.222], [-3.556, 2.053, 5.222], [0.000, -4.106, 5.222]],
  "species": ["Ge", "Ge", "Ge", "Ge", "Ge", "Ge", "As", "As", "As", "As"],
  "fractional_positions": [[0.008, 0.750, 0.492], [0.250, 0.508, 0.992], [0.492, 0.008, 0.750], [0.508, 0.992, 0.250], [0.750, 0.492, 0.008], [0.992, 0.250, 0.508], [0.122, 0.122, 0.122], [0.378, 0.378, 0.378], [0.622, 0.622, 0.622], [0.878, 0.878, 0.878]]
}



{
  "formula": "GeAs3",
  "functional": "PBE-GGA",
  "state": "optimized geometry",
  "formation_enthalpy_0k_ev_per_atom": 0.40,
  "spacegroup": "I4/mmm (139)",
  "lattice": [[-1.950, 1.950, 5.247], [1.950, -1.950, 5.247], [1.950, 1.950, -5.247]],
  "species": ["Ge", "As", "As", "As"],
  "fractional_positions": [[0.000, 0.000, 0.000], [0.250, 0.750, 0.500], [0.500, 0.500, 0.000], [0.750, 0.250, 0.500]]
}



{
  "formula": "Ge2AsH",
  "functional": "PBE-GGA",
  "state": "optimized geometry",
  "spacegroup": "Fm-3m (225)",
  "relative_energy_mev_per_atom": 320,
  "lattice": [[0.000, 3.194, 3.194], [3.194, 0.000, 3.194], [3.194, 3.194, 0.000]],
  "species": ["Ge", "Ge", "As", "H"],
  "fractional_positions": [[0.250, 0.250, 0.250], [0.750, 0.750, 0.750], [0.000, 0.000, 0.000], [0.500, 0.500, 0.500]]
}



V in A^3/atom, matching the order above: 21.986; 25.776; 21.491; 22.393; 21.743; 22.877; 19.962; 16.295
DFT total energy in eV for the cell shown, matching the order above: -18.3; -112.6; -26.4; -53.7; -18.2; -43.4; -17.0; -15.1